Arrangement i

## TaNiBr2 (PBE)

Data for crystalline TaNiBr2 at its relaxed geometry.

Cell lengths 16.062, 3.192, 4.063 Å; angles 90.00, 104.44, 90.00 degrees
Space group C2/m (No. 12)
Inequivalent atoms, fractional coordinates:
Ta1 0.000 0.000 0.000 (multiplicity 2)
Ni1 0.000 0.500 0.500 (multiplicity 2)
Br1 0.139 0.500 0.137 (multiplicity 4)

***

Arrangement ii

## TaNiBr2 (PBE)

Data for crystalline TaNiBr2 at its relaxed geometry.

Cell lengths 3.073, 5.977, 8.470 Å; angles 90.00, 90.00, 90.00 degrees
Space group Cmmm (No. 65)
Inequivalent atoms, fractional coordinates:
Ta1 0.000 0.000 0.000 (multiplicity 2)
Ni1 0.000 0.000 0.500 (multiplicity 2)
Br1 0.000 0.500 0.263 (multiplicity 4)

***

Arrangement iii

## TaNiBr2 (PBE)

Data for crystalline TaNiBr2 at its relaxed geometry.

Cell lengths 6.696, 6.696, 6.696 Å; angles 90.00, 90.00, 90.00 degrees
Space group F-43m (No. 216)
Inequivalent atoms, fractional coordinates:
Ta1 0.000 0.000 0.000 (multiplicity 4)
Ni1 0.250 0.250 0.750 (multiplicity 4)
Br1 0.000 0.000 0.500 (multiplicity 4)
Br2 0.250 0.250 0.250 (multiplicity 4)

***

Arrangement iv

## TaNiBr2 (PBE)

Data for crystalline TaNiBr2 at its relaxed geometry.

Cell lengths 3.290, 3.290, 6.270 Å; angles 90.00, 90.00, 90.00 degrees
Space group P4/mmm (No. 123)
Inequivalent atoms, fractional coordinates:
Ta1 0.000 0.000 0.000 (multiplicity 1)
Ni1 0.000 0.000 0.500 (multiplicity 1)
Br1 0.500 0.500 0.250 (multiplicity 2)

***

Most stable: arrangement i. Least stable: arrangement iii.

***

Arrangement i

## TaNiBr2 (PBE)

Data for crystalline TaNiBr2 at its relaxed geometry.

Cell lengths 3.129, 4.898, 12.434 Å; angles 90.00, 90.00, 90.00 degrees
Space group Imm2 (No. 44)
Inequivalent atoms, fractional coordinates:
Ta1 0.000 0.000 0.000 (multiplicity 2)
Ni1 0.000 0.500 0.651 (multiplicity 2)
Br1 0.000 0.000 0.526 (multiplicity 2)
Br2 0.000 0.500 0.322 (multiplicity 2)

***

Arrangement ii

## TaNiBr2 (PBE)

Data for crystalline TaNiBr2 at its relaxed geometry.

Cell lengths 3.099, 4.300, 5.632 Å; angles 90.00, 90.00, 90.00 degrees
Space group Pmmm (No. 47)
Inequivalent atoms, fractional coordinates:
Ta1 0.000 0.000 0.000 (multiplicity 1)
Ni1 0.500 0.000 0.500 (multiplicity 1)
Br1 0.000 0.500 0.500 (multiplicity 1)
Br2 0.500 0.500 0.000 (multiplicity 1)

***

Most stable: arrangement i. Least stable: arrangement ii.

***

Arrangement i

## TaNiBr2 (PBE)

Data for crystalline TaNiBr2 at its relaxed geometry.

Cell lengths 6.093, 8.527, 3.203 Å; angles 90.00, 114.02, 90.00 degrees
Space group C2/m (No. 12)
Inequivalent atoms, fractional coordinates:
Ta1 0.000 0.000 0.000 (multiplicity 2)
Ni1 0.000 0.500 0.000 (multiplicity 2)
Br1 0.250 0.250 0.000 (multiplicity 4)

***

Arrangement ii

## TaNiBr2 (PBE)

Data for crystalline TaNiBr2 at its relaxed geometry.

Cell lengths 3.3381, 3.3381, 24.7533 Å; angles 90.00, 90.00, 120.00 degrees
Space group R-3m (No. 166, hexagonal axes)
Inequivalent atoms, fractional coordinates:
Ta1 0.0000 0.0000 0.0000 (multiplicity 3)
Ni1 0.0000 0.0000 0.5000 (multiplicity 3)
Br1 0.0000 0.0000 0.1018 (multiplicity 6)

***

Arrangement iii

## TaNiBr2 (PBE)

Data for crystalline TaNiBr2 at its relaxed geometry.

Cell lengths 6.021, 6.021, 9.714 Å; angles 90.00, 90.00, 90.00 degrees
Space group I-42d (No. 122)
Inequivalent atoms, fractional coordinates:
Ta1 0.000 0.000 0.000 (multiplicity 4)
Ni1 0.000 0.000 0.500 (multiplicity 4)
Br1 0.218 0.250 0.625 (multiplicity 8)

***

Arrangement iv

## TaNiBr2 (PBE)

Data for crystalline TaNiBr2 at its relaxed geometry.

Cell lengths 3.360, 3.285, 8.520 Å; angles 90.00, 100.74, 90.00 degrees
Space group Pm (No. 6)
Inequivalent atoms, fractional coordinates:
Ta1 0.000 0.000 0.000 (multiplicity 1)
Ni1 0.568 0.500 0.143 (multiplicity 1)
Br1 0.149 0.000 0.315 (multiplicity 1)
Br2 0.885 0.500 0.757 (multiplicity 1)

***

Most stable: arrangement iv. Least stable: arrangement iii.

***

Arrangement i

## TaNiBr2 (PBE)

Data for crystalline TaNiBr2 at its relaxed geometry.

Cell lengths 3.204, 4.396, 5.513 Å; angles 90.00, 95.11, 90.00 degrees
Space group P2/m (No. 10)
Inequivalent atoms, fractional coordinates:
Ta1 0.000 0.000 0.000 (multiplicity 1)
Ni1 0.500 0.000 0.500 (multiplicity 1)
Br1 0.217 0.500 0.251 (multiplicity 2)

***

Arrangement ii

## TaNiBr2 (PBE)

Data for crystalline TaNiBr2 at its relaxed geometry.

Cell lengths 4.291, 4.291, 8.009 Å; angles 90.00, 90.00, 90.00 degrees
Space group I-4m2 (No. 119)
Inequivalent atoms, fractional coordinates:
Ta1 0.000 0.000 0.000 (multiplicity 2)
Ni1 0.000 0.500 0.250 (multiplicity 2)
Br1 0.000 0.000 0.500 (multiplicity 2)
Br2 0.000 0.500 0.750 (multiplicity 2)

***

Most stable: arrangement i. Least stable: arrangement ii.